# 1
The following is a PBE-GGA calculation of a relaxed structure of LaZrTc2, from the Alexandria database.

Cell: 4.8198 4.8198 4.8198 Å, 60.00 60.00 60.00°
Closest atoms and distances in Å follow each position.
Element x y z (fractional)
La1 0.0000 0.0000 0.0000  8 Tc 2.95
Zr1 0.5000 0.5000 0.5000  8 Tc 2.95
Tc1 0.2500 0.2500 0.2500  4 Zr 2.95, 4 La 2.95
Tc2 0.7500 0.7500 0.7500  4 Zr 2.95, 4 La 2.95

Properties
Polymorph energy (0 for the lowest one) in meV/atom: 21
DFT formation energy in kcal/mol of atoms: 2.0
Total energy in Ha/atom: -0.311



# 2
The following is a PBE-GGA calculation of a relaxed structure of Ba4GePd3, from the Alexandria database.

Cell: 4.7040 4.7190 11.7463 Å, 90.00 90.00 90.00°
Closest atoms and distances in Å follow each position.
Element x y z (fractional)
Ba1 0.0000 0.0000 0.0000  2 Ge 3.27, 5 Pd 3.39-3.53
Ba2 0.0000 0.5000 0.4944  6 Pd 3.38-3.43, 1 Ge 3.68
Ba3 0.5000 0.0000 0.7137  3 Pd 3.23-3.41, 4 Ge 3.51
Ba4 0.5000 0.5000 0.2185  7 Pd 3.37-3.73
Ge1 0.0000 0.5000 0.8077  2 Pd 2.60
Pd1 0.0000 0.0000 0.2884  2 Pd 2.84
Pd2 0.5000 0.0000 0.4233  2 Pd 2.84
Pd3 0.5000 0.5000 0.9013  2 Ge 2.60

Properties
DFT formation energy in kcal/mol of atoms: -12.3
Total energy in Ha/atom: -0.148